(1)
This record from Alexandria via LeMat-Bulk describes SbNOF2 after structural relaxation. The functional is PBE.

a b c (Å): 4.347 4.347 3.973
angles (deg): 90.00 90.00 90.00
Site moments in Bohr magnetons follow the coordinates.
Fractional positions:
Sb  0.000  0.000  0.000  0.00
O  0.000  0.000  0.500  0.05
F  0.000  0.500  0.000  0.03
F  0.500  0.000  0.000  0.03
N  0.500  0.500  0.500  1.92

Calculated values
The calculation puts the relative energy among the computed polymorphs at 0.0 kJ/mol of atoms.

=====

(2)
This record from Alexandria via LeMat-Bulk describes Nd2InSe after structural relaxation. The functional is PBE.

a b c (Å): 4.348 4.447 12.175
angles (deg): 100.52 90.00 90.00
Fractional positions:
Nd  0.750  0.684  0.369
Nd  0.250  0.070  0.140
Nd  0.250  0.316  0.631
Nd  0.750  0.930  0.860
In  0.250  0.457  0.914
In  0.750  0.543  0.086
Se  0.250  0.192  0.385
Se  0.750  0.808  0.615

Calculated values
The calculation puts the relative energy among the computed polymorphs at 0.0 kJ/mol of atoms.

=====

(3)
This record from Alexandria via LeMat-Bulk describes LaTcSb2 after structural relaxation. The functional is PBE.

a b c (Å): 6.084 6.084 6.084
angles (deg): 147.53 123.96 66.28
Fractional positions:
Sb  0.545  0.545  0.000
Sb  0.955  0.955  0.000
Tc  0.750  0.250  0.500
La  0.250  0.750  0.500

Calculated values
The calculation puts the relative energy among the computed polymorphs at 23.4 kJ/mol of atoms.

=====

(4)
This record from Alexandria via LeMat-Bulk describes LiPm2Sb4Pd3 after structural relaxation. The functional is PBE.

a b c (Å): 4.424 4.424 11.605
angles (deg): 90.00 90.00 90.00
Fractional positions:
Sb  0.500  0.000  0.634
Sb  0.500  0.500  0.000
Sb  0.000  0.500  0.366
Sb  0.000  0.000  0.000
Pm  0.000  0.500  0.739
Pm  0.500  0.000  0.261
Pd  0.500  0.000  0.859
Pd  0.000  0.000  0.500
Pd  0.000  0.500  0.141
Li  0.500  0.500  0.500

Calculated values
For the final energy, the calculation gives -5.139 eV/atom.

=====

(5)
This record from Alexandria via LeMat-Bulk describes Ho4GaHgC after structural relaxation. The functional is PBE.

a b c (Å): 6.871 6.873 8.039
angles (deg): 90.00 115.30 90.00
Fractional positions:
Ho  0.921  0.250  0.843
Ho  0.417  0.750  0.834
Ho  0.000  0.000  0.500
Ho  0.583  0.250  0.166
Ho  0.500  0.000  0.500
Ho  0.000  0.500  0.500
Ho  0.079  0.750  0.157
Ho  0.500  0.500  0.500
C  0.249  0.750  0.498
C  0.751  0.250  0.502
Hg  0.619  0.750  0.237
Hg  0.381  0.250  0.763
Ga  0.875  0.750  0.750
Ga  0.125  0.250  0.250

Calculated values
The formation energy is -0.395 eV per atom.

=====

(6)
This record from Alexandria via LeMat-Bulk describes La3PmAu2 after structural relaxation. The functional is PBE.

a b c (Å): 7.367 7.653 8.988
angles (deg): 115.20 114.19 90.00
Fractional positions:
Au  0.439  0.640  0.280
Au  0.561  0.360  0.720
Au  0.159  0.860  0.720
Au  0.841  0.140  0.280
La  0.771  0.521  0.541
La  0.500  0.250  0.000
La  0.229  0.979  0.459
La  0.500  0.750  0.000
La  0.771  0.021  0.541
La  0.229  0.479  0.459
Pm  0.000  0.500  0.000
Pm  0.000  0.000  0.000

Calculated values
The calculation puts the relative energy among the computed polymorphs at 14.8 kJ/mol of atoms. The formation energy is -0.407 eV per atom.

=====

(7)
This record from Alexandria via LeMat-Bulk describes TeAs2Se2 after structural relaxation. The functional is PBE.

a b c (Å): 8.741 8.741 3.465
angles (deg): 90.00 90.00 90.00
Fractional positions:
Se  0.368  0.132  0.500
Se  0.868  0.368  0.500
Se  0.132  0.632  0.500
Se  0.632  0.868  0.500
As  0.730  0.230  0.000
As  0.770  0.730  0.000
As  0.230  0.270  0.000
As  0.270  0.770  0.000
Te  0.000  0.000  0.000
Te  0.500  0.500  0.000

Calculated values
For the final energy, the calculation gives -3.831 eV/atom.

=====

(8)
This record from Alexandria via LeMat-Bulk describes Ga2Ni8Ir after structural relaxation. The functional is PBE.

a b c (Å): 4.146 6.494 6.515
angles (deg): 60.10 77.39 64.02
Site moments in Bohr magnetons follow the coordinates.
Fractional positions:
Ni  0.872  0.314  0.781  0.26
Ni  0.872  0.095  0.219  0.26
Ni  0.309  0.412  0.000  0.35
Ni  0.691  0.588  0.000  0.35
Ni  0.500  0.785  0.429  0.19
Ni  0.128  0.905  0.781  0.26
Ni  0.500  0.215  0.571  0.19
Ni  0.128  0.686  0.219  0.26
Ga  0.000  0.308  0.385  -0.01
Ga  0.000  0.692  0.615  -0.01
Ir  0.500  0.000  0.000  0.53

Calculated values
The formation energy is 0.023 eV per atom.